Entry 1:
VASP calculation (PBE) on a relaxed Sc3TlAg crystal.

Its electronic total energy is -22.85 eV for the cell shown. Its calculated formation energy is 273 meV/atom. Its total magnetization is 0.000 μB/f.u. As for the density of states at the Fermi level: 2.1906 states/eV per atom. As for the space group: Pm-3m. The calculation puts the excess energy over the best structure of this formula in the dataset at 487 meV/atom.

Lattice parameters (Å, degrees): 5.1683 5.1683 5.1683 90.00 90.00 90.00
Closest atoms and distances in Å follow each position.
Fractional coordinates of all 5 atoms:
Sc 0.0000 0.0000 0.5000  2 Ag 2.58
Sc 0.0000 0.5000 0.0000  2 Ag 2.58
Sc 0.5000 0.0000 0.0000  2 Ag 2.58
Tl 0.5000 0.5000 0.5000  12 Sc 3.65
Ag 0.0000 0.0000 0.0000  6 Sc 2.58

---

Entry 2:
VASP calculation (PBE) on a relaxed Sc5TlAg4 crystal.

Its electronic total energy is -48.21 eV for the cell shown. Its calculated formation energy is -278 meV/atom. Its total magnetization is 0.127 μB/f.u. As for the density of states at the Fermi level: 0.6717 states/eV per atom. As for the space group: P4/mmm.

Lattice parameters (Å, degrees): 3.4343 3.4343 17.6943 90.00 90.00 90.00
Closest atoms and distances in Å follow each position.
Fractional coordinates of all 10 atoms:
Sc 0.0000 0.0000 0.0000  8 Ag 2.97
Sc 0.0000 0.0000 0.1947  8 Ag 2.97-2.98
Sc 0.0000 0.0000 0.3888  4 Ag 2.98, 4 Tl 3.13
Sc 0.0000 0.0000 0.6112  4 Ag 2.98, 4 Tl 3.13
Sc 0.0000 0.0000 0.8053  8 Ag 2.97-2.98
Tl 0.5000 0.5000 0.5000  8 Sc 3.13, 4 Tl 3.43
Ag 0.5000 0.5000 0.0969  8 Sc 2.97-2.98
Ag 0.5000 0.5000 0.2913  8 Sc 2.97-2.98
Ag 0.5000 0.5000 0.7087  8 Sc 2.97-2.98
Ag 0.5000 0.5000 0.9031  8 Sc 2.97-2.98

---

Entry 3:
VASP calculation (PBE) on a relaxed ScTlAg crystal.

Its electronic total energy is -24.09 eV for the cell shown. Its calculated formation energy is -165 meV/atom. Its total magnetization is 0.000 μB/f.u. As for the density of states at the Fermi level: 0.7492 states/eV per atom. As for the space group: P2_1/m.

Lattice parameters (Å, degrees): 4.4321 4.5564 6.7551 90.00 109.24 90.00
Closest atoms and distances in Å follow each position.
Fractional coordinates of all 6 atoms:
Sc 0.0952 0.2500 0.1900  4 Ag 2.97-3.01, 6 Tl 3.17-3.25, 2 Sc 3.33
Sc 0.9048 0.7500 0.8100  4 Ag 2.97-3.01, 6 Tl 3.17-3.25, 2 Sc 3.33
Tl 0.4106 0.2500 0.8181  4 Ag 2.99-3.06, 6 Sc 3.17-3.25, 2 Tl 3.25
Tl 0.5894 0.7500 0.1819  4 Ag 2.99-3.06, 6 Sc 3.17-3.25, 2 Tl 3.25
Ag 0.2474 0.7500 0.4982  4 Sc 2.97-3.01, 4 Tl 2.99-3.06, 4 Ag 3.17-3.19
Ag 0.7526 0.2500 0.5018  4 Sc 2.97-3.01, 4 Tl 2.99-3.06, 4 Ag 3.17-3.19

---

Entry 4:
VASP calculation (PBE) on a relaxed Sc6Tl5Ag crystal.

Its electronic total energy is -55.89 eV for the cell shown. Its calculated formation energy is -268 meV/atom. Its total magnetization is 1.056 μB/f.u. As for the density of states at the Fermi level: 0.9983 states/eV per atom. As for the space group: Cmmm.

Lattice parameters (Å, degrees): 8.0414 8.0414 7.0783 90.00 90.00 143.23
Closest atoms and distances in Å follow each position.
Fractional coordinates of all 12 atoms:
Sc 0.0000 0.0000 0.2464  6 Tl 3.02-3.12, 2 Ag 3.08
Sc 0.0000 0.0000 0.7536  6 Tl 3.02-3.12, 2 Ag 3.08
Sc 0.3352 0.6648 0.2449  1 Ag 3.06, 7 Tl 3.07-3.17
Sc 0.3352 0.6648 0.7551  1 Ag 3.06, 7 Tl 3.07-3.17
Sc 0.6648 0.3352 0.2449  1 Ag 3.06, 7 Tl 3.07-3.17
Sc 0.6648 0.3352 0.7551  1 Ag 3.06, 7 Tl 3.07-3.17
Tl 0.1615 0.8385 0.0000  8 Sc 3.02-3.17
Tl 0.1673 0.8327 0.5000  8 Sc 3.11-3.13
Tl 0.5000 0.5000 0.5000  8 Sc 3.10-3.11
Tl 0.8327 0.1673 0.5000  8 Sc 3.11-3.13
Tl 0.8385 0.1615 0.0000  8 Sc 3.02-3.17
Ag 0.5000 0.5000 0.0000  8 Sc 3.06-3.08

---

Entry 5:
VASP calculation (PBE) on a relaxed ScTlAg crystal.

Its electronic total energy is -46.86 eV for the cell shown. Its calculated formation energy is -56 meV/atom. Its total magnetization is 0.000 μB/f.u. As for the density of states at the Fermi level: 1.4971 states/eV per atom. As for the space group: F-43m.

Lattice parameters (Å, degrees): 6.6173 6.6173 6.6173 90.00 90.00 90.00
Closest atoms and distances in Å follow each position.
Fractional coordinates of all 12 atoms:
Sc 0.0000 0.0000 0.0000  4 Ag 2.87
Sc 0.0000 0.5000 0.5000  4 Ag 2.87
Sc 0.5000 0.0000 0.5000  4 Ag 2.87
Sc 0.5000 0.5000 0.0000  4 Ag 2.87
Tl 0.0000 0.0000 0.5000  4 Ag 2.87
Tl 0.0000 0.5000 0.0000  4 Ag 2.87
Tl 0.5000 0.0000 0.0000  4 Ag 2.87
Tl 0.5000 0.5000 0.5000  4 Ag 2.87
Ag 0.2500 0.2500 0.7500  4 Tl 2.87, 4 Sc 2.87
Ag 0.2500 0.7500 0.2500  4 Tl 2.87, 4 Sc 2.87
Ag 0.7500 0.2500 0.2500  4 Tl 2.87, 4 Sc 2.87
Ag 0.7500 0.7500 0.7500  4 Tl 2.87, 4 Sc 2.87

---

Entry 6:
VASP calculation (PBE) on a relaxed ScTlAg crystal.

Its electronic total energy is -24.10 eV for the cell shown. Its calculated formation energy is -168 meV/atom. Its total magnetization is 0.000 μB/f.u. As for the density of states at the Fermi level: 0.6333 states/eV per atom. As for the space group: P6_3/mmc.

Lattice parameters (Å, degrees): 4.8917 4.8917 6.2627 90.00 90.00 120.00
Closest atoms and distances in Å follow each position.
Fractional coordinates of all 6 atoms:
Sc 0.3333 0.6667 0.2500  5 Ag 2.82-3.13
Sc 0.6667 0.3333 0.7500  5 Ag 2.82-3.13
Tl 0.0000 0.0000 0.0000  2 Tl 3.13, 6 Sc 3.23, 6 Ag 3.23
Tl 0.0000 0.0000 0.5000  2 Tl 3.13, 6 Sc 3.23, 6 Ag 3.23
Ag 0.3333 0.6667 0.7500  5 Sc 2.82-3.13
Ag 0.6667 0.3333 0.2500  5 Sc 2.82-3.13

---

Entry 7:
VASP calculation (PBE) on a relaxed ScTlAg crystal.

Its electronic total energy is -11.59 eV for the cell shown. Its calculated formation energy is -13 meV/atom. Its total magnetization is 0.000 μB/f.u. As for the density of states at the Fermi level: 0.6742 states/eV per atom. As for the space group: P3m1.

Lattice parameters (Å, degrees): 3.4564 3.4564 6.7777 90.00 90.00 120.00
Closest atoms and distances in Å follow each position.
Fractional coordinates of all 3 atoms:
Sc 0.0000 0.0000 0.0000  3 Ag 2.85, 3 Tl 3.15
Tl 0.6667 0.3333 0.3604  3 Ag 3.04, 3 Sc 3.15
Ag 0.3333 0.6667 0.6990  3 Sc 2.85, 3 Tl 3.04

---

Entry 8:
VASP calculation (PBE) on a relaxed Sc2TlAg crystal.

Its electronic total energy is -76.26 eV for the cell shown. Its calculated formation energy is -296 meV/atom. Its total magnetization is 0.000 μB/f.u. As for the density of states at the Fermi level: 0.9981 states/eV per atom. As for the space group: Fm-3m. The calculation puts the excess energy over the best structure of this formula in the dataset at 0 meV/atom.

Lattice parameters (Å, degrees): 7.0380 7.0380 7.0380 90.00 90.00 90.00
Closest atoms and distances in Å follow each position.
Fractional coordinates of all 16 atoms:
Sc 0.2500 0.2500 0.2500  4 Tl 3.05, 4 Ag 3.05
Sc 0.2500 0.2500 0.7500  4 Tl 3.05, 4 Ag 3.05
Sc 0.2500 0.7500 0.2500  4 Tl 3.05, 4 Ag 3.05
Sc 0.2500 0.7500 0.7500  4 Tl 3.05, 4 Ag 3.05
Sc 0.7500 0.2500 0.2500  4 Tl 3.05, 4 Ag 3.05
Sc 0.7500 0.2500 0.7500  4 Tl 3.05, 4 Ag 3.05
Sc 0.7500 0.7500 0.2500  4 Tl 3.05, 4 Ag 3.05
Sc 0.7500 0.7500 0.7500  4 Ag 3.05, 4 Tl 3.05
Tl 0.0000 0.0000 0.0000  8 Sc 3.05
Tl 0.0000 0.5000 0.5000  8 Sc 3.05
Tl 0.5000 0.0000 0.5000  8 Sc 3.05
Tl 0.5000 0.5000 0.0000  8 Sc 3.05
Ag 0.0000 0.0000 0.5000  8 Sc 3.05
Ag 0.0000 0.5000 0.0000  8 Sc 3.05
Ag 0.5000 0.0000 0.0000  8 Sc 3.05
Ag 0.5000 0.5000 0.5000  8 Sc 3.05

---

Entry 9:
VASP calculation (PBE) on a relaxed Sc2TlAg2 crystal.

Its electronic total energy is -42.45 eV for the cell shown. Its calculated formation energy is -98 meV/atom. Its total magnetization is 0.000 μB/f.u. As for the density of states at the Fermi level: 0.9126 states/eV per atom. As for the space group: P4/mbm. The calculation puts the excess energy over the best structure of this formula in the dataset at 127 meV/atom.

Lattice parameters (Å, degrees): 8.1213 8.1213 3.3925 90.00 90.00 90.00
Closest atoms and distances in Å follow each position.
Fractional coordinates of all 10 atoms:
Sc 0.1574 0.3426 0.0000  6 Ag 2.91-2.95, 2 Tl 3.06
Sc 0.3426 0.8426 0.0000  6 Ag 2.91-2.95, 2 Tl 3.06
Sc 0.6574 0.1574 0.0000  6 Ag 2.91-2.95, 2 Tl 3.06
Sc 0.8426 0.6574 0.0000  6 Ag 2.91-2.95, 2 Tl 3.06
Tl 0.0000 0.0000 0.0000  4 Sc 3.06, 2 Tl 3.39
Tl 0.5000 0.5000 0.0000  4 Sc 3.06, 2 Tl 3.39
Ag 0.1327 0.6327 0.5000  6 Sc 2.91-2.95, 1 Ag 3.05
Ag 0.3673 0.1327 0.5000  6 Sc 2.91-2.95, 1 Ag 3.05
Ag 0.6327 0.8673 0.5000  6 Sc 2.91-2.95, 1 Ag 3.05
Ag 0.8673 0.3673 0.5000  6 Sc 2.91-2.95, 1 Ag 3.05

---

Entry 10:
VASP calculation (PBE) on a relaxed ScTlAg crystal.

Its electronic total energy is -23.77 eV for the cell shown. Its calculated formation energy is -112 meV/atom. Its total magnetization is 0.083 μB/f.u. As for the density of states at the Fermi level: 0.8611 states/eV per atom. As for the space group: I4mm.

Lattice parameters (Å, degrees): 3.4314 3.4314 11.2080 90.00 90.00 90.00
Closest atoms and distances in Å follow each position.
Fractional coordinates of all 6 atoms:
Sc 0.0000 0.0000 0.0000  4 Ag 2.96, 4 Tl 3.16
Sc 0.5000 0.5000 0.5000  4 Ag 2.96, 4 Tl 3.16
Tl 0.0000 0.0000 0.6806  4 Ag 3.07, 4 Sc 3.16, 4 Tl 3.43
Tl 0.5000 0.5000 0.1806  4 Ag 3.07, 4 Sc 3.16, 4 Tl 3.43
Ag 0.0000 0.0000 0.3485  4 Sc 2.96, 4 Tl 3.07
Ag 0.5000 0.5000 0.8485  4 Sc 2.96, 4 Tl 3.07

---

Entry 11:
VASP calculation (PBE) on a relaxed Sc2TlAg crystal.

Its electronic total energy is -53.62 eV for the cell shown. Its calculated formation energy is 2 meV/atom. Its total magnetization is 1.114 μB/f.u. As for the density of states at the Fermi level: 1.0304 states/eV per atom. As for the space group: R3m. The calculation puts the excess energy over the best structure of this formula in the dataset at 298 meV/atom.

Lattice parameters (Å, degrees): 3.3402 3.3402 29.1455 90.00 90.00 120.00
Closest atoms and distances in Å follow each position.
Fractional coordinates of all 12 atoms:
Sc 0.0000 0.0000 0.0000  3 Tl 3.17, 9 Sc 3.22-3.34
Sc 0.0000 0.0000 0.2448  3 Ag 2.94, 3 Sc 3.22
Sc 0.3333 0.6667 0.6667  3 Tl 3.17, 9 Sc 3.22-3.34
Sc 0.3333 0.6667 0.9115  3 Ag 2.94, 3 Sc 3.22
Sc 0.6667 0.3333 0.3333  3 Tl 3.17, 9 Sc 3.22-3.34
Sc 0.6667 0.3333 0.5781  3 Ag 2.94, 3 Sc 3.22
Tl 0.0000 0.0000 0.7529  3 Ag 3.08, 3 Sc 3.17, 6 Tl 3.34
Tl 0.3333 0.6667 0.4195  3 Ag 3.08, 3 Sc 3.17, 6 Tl 3.34
Tl 0.6667 0.3333 0.0862  3 Ag 3.08, 3 Sc 3.17, 6 Tl 3.34
Ag 0.0000 0.0000 0.5018  3 Sc 2.94, 3 Tl 3.08
Ag 0.3333 0.6667 0.1684  3 Sc 2.94, 3 Tl 3.08
Ag 0.6667 0.3333 0.8351  3 Sc 2.94, 3 Tl 3.08

---

Entry 12:
VASP calculation (PBE) on a relaxed Sc12Tl3Ag crystal.

Its electronic total energy is -88.57 eV for the cell shown. Its calculated formation energy is -165 meV/atom. Its total magnetization is 5.372 μB/f.u. As for the density of states at the Fermi level: 1.2663 states/eV per atom. As for the space group: P4/mmm.

Lattice parameters (Å, degrees): 4.5165 4.5165 17.9346 90.00 90.00 90.00
Closest atoms and distances in Å follow each position.
Fractional coordinates of all 16 atoms:
Sc 0.0000 0.0000 0.0000  8 Sc 3.11, 4 Ag 3.19
Sc 0.0000 0.0000 0.2465  4 Tl 3.19, 8 Sc 3.21
Sc 0.0000 0.0000 0.5000  4 Tl 3.19, 8 Sc 3.20
Sc 0.0000 0.0000 0.7535  4 Tl 3.19, 8 Sc 3.21
Sc 0.0000 0.5000 0.1195  8 Sc 3.11-3.21, 2 Ag 3.11, 2 Tl 3.21
Sc 0.0000 0.5000 0.3736  8 Sc 3.19-3.21, 4 Tl 3.20-3.21
Sc 0.0000 0.5000 0.6264  8 Sc 3.19-3.21, 4 Tl 3.20-3.21
Sc 0.0000 0.5000 0.8805  8 Sc 3.11-3.21, 2 Ag 3.11, 2 Tl 3.21
Sc 0.5000 0.0000 0.1195  8 Sc 3.11-3.21, 2 Ag 3.11, 2 Tl 3.21
Sc 0.5000 0.0000 0.3736  8 Sc 3.19-3.21, 4 Tl 3.20-3.21
Sc 0.5000 0.0000 0.6264  8 Sc 3.19-3.21, 4 Tl 3.20-3.21
Sc 0.5000 0.0000 0.8805  8 Sc 3.11-3.21, 2 Ag 3.11, 2 Tl 3.21
Tl 0.5000 0.5000 0.2466  12 Sc 3.19-3.21
Tl 0.5000 0.5000 0.5000  12 Sc 3.19-3.20
Tl 0.5000 0.5000 0.7534  12 Sc 3.19-3.21
Ag 0.5000 0.5000 0.0000  12 Sc 3.11-3.19